First-principles (GGA+U) data for a geometry-optimized NaCaW2O8 structure, as listed in the Alexandria database.

Unit cell a=6.324 b=6.324 c=6.324 alpha=107.20 beta=107.20 gamma=114.11
Element x y z (fractional)
O (0.779, 0.088, 0.691)
O (0.457, 0.653, 0.803)
O (0.347, 0.150, 0.803)
O (0.347, 0.543, 0.197)
O (0.850, 0.653, 0.197)
O (0.912, 0.603, 0.691)
O (0.912, 0.221, 0.309)
O (0.397, 0.088, 0.309)
W (0.750, 0.250, 0.500)
W (0.500, 0.500, 0.000)
Na (0.000, 0.000, 0.000)
Ca (0.250, 0.750, 0.500)

Calculated values
**Electronic total energy**: -6.763 eV per atom
**Size of the total moment**: 1.1 Bohr magnetons per cell